Record 1
# PBE W5Cl, relaxed
# - Calculated volume: 112.7 Å³/f.u.
# - Formation energy without anion corrections: 1.138 eV per atom
# - Spin magnetization: 0.00 μB per cell
data_W5Cl
_cell_length_a 5.243
_cell_length_b 5.243
_cell_length_c 4.735
_cell_angle_alpha 90.00
_cell_angle_beta 90.00
_cell_angle_gamma 120.00
_symmetry_space_group_name_H-M 'P 1'
_symmetry_Int_Tables_number 1
_symmetry_space_group_name_Hall 'P 1'
loop_
_atom_site_label
_atom_site_type_symbol
_atom_site_fract_x
_atom_site_fract_y
_atom_site_fract_z
W1 W 0.333 0.667 0.000
W2 W 0.667 0.333 0.000
W3 W 0.500 0.000 0.500
W4 W 0.000 0.500 0.500
W5 W 0.500 0.500 0.500
Cl1 Cl 0.000 0.000 0.000

=====

Record 2
# PBE WCl3, relaxed
# - Calculated volume: 115.4 Å³/f.u.
# - Formation energy without anion corrections: -0.783 eV per atom
# - Spin magnetization: 2.05 μB per cell
data_WCl3
_cell_length_a 9.868
_cell_length_b 9.868
_cell_length_c 9.868
_cell_angle_alpha 111.08
_cell_angle_beta 111.08
_cell_angle_gamma 111.08
_symmetry_space_group_name_H-M 'P 1'
_symmetry_Int_Tables_number 1
_symmetry_space_group_name_Hall 'P 1'
loop_
_atom_site_label
_atom_site_type_symbol
_atom_site_fract_x
_atom_site_fract_y
_atom_site_fract_z
Cl1 Cl 0.429 0.190 0.293
Cl2 Cl 0.190 0.293 0.429
Cl3 Cl 0.293 0.429 0.190
Cl4 Cl 0.571 0.810 0.707
Cl5 Cl 0.810 0.707 0.571
Cl6 Cl 0.707 0.571 0.810
Cl7 Cl 0.137 0.764 0.103
Cl8 Cl 0.764 0.103 0.137
Cl9 Cl 0.103 0.137 0.764
Cl10 Cl 0.863 0.236 0.897
Cl11 Cl 0.236 0.897 0.863
Cl12 Cl 0.897 0.863 0.236
Cl13 Cl 0.948 0.502 0.695
Cl14 Cl 0.502 0.695 0.948
Cl15 Cl 0.695 0.948 0.502
Cl16 Cl 0.052 0.498 0.305
Cl17 Cl 0.498 0.305 0.052
Cl18 Cl 0.305 0.052 0.498
W1 W 0.976 0.771 0.859
W2 W 0.771 0.859 0.976
W3 W 0.859 0.976 0.771
W4 W 0.024 0.229 0.141
W5 W 0.229 0.141 0.024
W6 W 0.141 0.024 0.229

=====

Record 3
# PBE WCl3, relaxed
# - Calculated volume: 86.4 Å³/f.u.
# - Formation energy without anion corrections: 0.864 eV per atom
# - Spin magnetization: 2.56 μB per cell
data_WCl3
_cell_length_a 6.223
_cell_length_b 6.223
_cell_length_c 3.151
_cell_angle_alpha 90.00
_cell_angle_beta 90.00
_cell_angle_gamma 134.92
_symmetry_space_group_name_H-M 'P 1'
_symmetry_Int_Tables_number 1
_symmetry_space_group_name_Hall 'P 1'
loop_
_atom_site_label
_atom_site_type_symbol
_atom_site_fract_x
_atom_site_fract_y
_atom_site_fract_z
W1 W 0.000 0.000 0.000
Cl1 Cl 0.000 0.500 0.500
Cl2 Cl 0.500 0.000 0.500
Cl3 Cl 0.500 0.500 0.000

=====

Record 4
# PBE WCl3, relaxed
# - Calculated volume: 117.6 Å³/f.u.
# - Formation energy without anion corrections: -0.349 eV per atom
# - Spin magnetization: 1.74 μB per cell
data_WCl3
_cell_length_a 6.688
_cell_length_b 6.688
_cell_length_c 6.688
_cell_angle_alpha 152.75
_cell_angle_beta 119.82
_cell_angle_gamma 67.27
_symmetry_space_group_name_H-M 'P 1'
_symmetry_Int_Tables_number 1
_symmetry_space_group_name_Hall 'P 1'
loop_
_atom_site_label
_atom_site_type_symbol
_atom_site_fract_x
_atom_site_fract_y
_atom_site_fract_z
W1 W 0.458 0.750 0.708
Cl1 Cl 0.172 0.104 0.068
Cl2 Cl 0.464 0.396 0.068
Cl3 Cl 0.739 0.250 0.489

=====

Record 5
# PBE WCl3, relaxed
# - Calculated volume: 77.6 Å³/f.u.
# - Formation energy without anion corrections: -0.034 eV per atom
# - Spin magnetization: 0.05 μB per cell
data_WCl3
_cell_length_a 9.320
_cell_length_b 9.320
_cell_length_c 9.320
_cell_angle_alpha 19.34
_cell_angle_beta 19.34
_cell_angle_gamma 19.34
_symmetry_space_group_name_H-M 'P 1'
_symmetry_Int_Tables_number 1
_symmetry_space_group_name_Hall 'P 1'
loop_
_atom_site_label
_atom_site_type_symbol
_atom_site_fract_x
_atom_site_fract_y
_atom_site_fract_z
W1 W 0.000 0.000 0.000
Cl1 Cl 0.729 0.729 0.729
Cl2 Cl 0.500 0.500 0.500
Cl3 Cl 0.271 0.271 0.271

=====

Record 6
# PBE W2Cl, relaxed
# - Calculated volume: 52.5 Å³/f.u.
# - Formation energy without anion corrections: 1.386 eV per atom
# - Spin magnetization: 0.00 μB per cell
data_W2Cl
_cell_length_a 4.662
_cell_length_b 4.662
_cell_length_c 2.790
_cell_angle_alpha 90.00
_cell_angle_beta 90.00
_cell_angle_gamma 120.00
_symmetry_space_group_name_H-M 'P 1'
_symmetry_Int_Tables_number 1
_symmetry_space_group_name_Hall 'P 1'
loop_
_atom_site_label
_atom_site_type_symbol
_atom_site_fract_x
_atom_site_fract_y
_atom_site_fract_z
Cl1 Cl 0.000 0.000 0.000
W1 W 0.333 0.667 0.500
W2 W 0.667 0.333 0.500

=====

Record 7
# PBE W2Cl, relaxed
# - Calculated volume: 51.1 Å³/f.u.
# - Formation energy without anion corrections: 0.775 eV per atom
# - Spin magnetization: 0.00 μB per cell
data_W2Cl
_cell_length_a 6.038
_cell_length_b 6.038
_cell_length_c 6.038
_cell_angle_alpha 151.15
_cell_angle_beta 151.15
_cell_angle_gamma 41.26
_symmetry_space_group_name_H-M 'P 1'
_symmetry_Int_Tables_number 1
_symmetry_space_group_name_Hall 'P 1'
loop_
_atom_site_label
_atom_site_type_symbol
_atom_site_fract_x
_atom_site_fract_y
_atom_site_fract_z
Cl1 Cl 0.000 0.000 0.000
W1 W 0.679 0.679 0.000
W2 W 0.321 0.321 0.000

=====

Record 8
# PBE WCl4, relaxed
# - Calculated volume: 142.0 Å³/f.u.
# - Formation energy without anion corrections: -0.831 eV per atom
# - Spin magnetization: 0.00 μB per cell
data_WCl4
_cell_length_a 6.507
_cell_length_b 7.336
_cell_length_c 7.454
_cell_angle_alpha 72.00
_cell_angle_beta 64.08
_cell_angle_gamma 63.70
_symmetry_space_group_name_H-M 'P 1'
_symmetry_Int_Tables_number 1
_symmetry_space_group_name_Hall 'P 1'
loop_
_atom_site_label
_atom_site_type_symbol
_atom_site_fract_x
_atom_site_fract_y
_atom_site_fract_z
W1 W 0.795 0.000 0.000
W2 W 0.205 0.000 0.000
Cl1 Cl 0.663 0.823 0.850
Cl2 Cl 0.196 0.788 0.820
Cl3 Cl 0.774 0.252 0.725
Cl4 Cl 0.250 0.251 0.725
Cl5 Cl 0.750 0.749 0.275
Cl6 Cl 0.226 0.748 0.275
Cl7 Cl 0.804 0.212 0.180
Cl8 Cl 0.337 0.177 0.150

=====

Record 9
# PBE W3Cl4, relaxed
# - Calculated volume: 135.6 Å³/f.u.
# - Formation energy without anion corrections: 0.238 eV per atom
# - Spin magnetization: 0.00 μB per cell
data_W3Cl4
_cell_length_a 15.290
_cell_length_b 15.290
_cell_length_c 15.290
_cell_angle_alpha 168.77
_cell_angle_beta 168.77
_cell_angle_gamma 15.91
_symmetry_space_group_name_H-M 'P 1'
_symmetry_Int_Tables_number 1
_symmetry_space_group_name_Hall 'P 1'
loop_
_atom_site_label
_atom_site_type_symbol
_atom_site_fract_x
_atom_site_fract_y
_atom_site_fract_z
W1 W 0.000 0.000 0.000
W2 W 0.280 0.280 0.000
W3 W 0.720 0.720 0.000
Cl1 Cl 0.165 0.165 0.000
Cl2 Cl 0.835 0.835 0.000
Cl3 Cl 0.451 0.451 0.000
Cl4 Cl 0.549 0.549 0.000

=====

Record 10
# PBE W2Cl, relaxed
# - Calculated volume: 69.1 Å³/f.u.
# - Formation energy without anion corrections: 0.156 eV per atom
# - Spin magnetization: 0.00 μB per cell
data_W2Cl
_cell_length_a 5.293
_cell_length_b 5.293
_cell_length_c 8.942
_cell_angle_alpha 75.41
_cell_angle_beta 75.41
_cell_angle_gamma 34.89
_symmetry_space_group_name_H-M 'P 1'
_symmetry_Int_Tables_number 1
_symmetry_space_group_name_Hall 'P 1'
loop_
_atom_site_label
_atom_site_type_symbol
_atom_site_fract_x
_atom_site_fract_y
_atom_site_fract_z
W1 W 0.621 0.621 0.065
W2 W 0.877 0.877 0.149
W3 W 0.123 0.123 0.851
W4 W 0.379 0.379 0.935
Cl1 Cl 0.336 0.336 0.656
Cl2 Cl 0.664 0.664 0.344

=====

Record 11
# PBE WCl3, relaxed
# - Calculated volume: 102.8 Å³/f.u.
# - Formation energy without anion corrections: -0.708 eV per atom
# - Spin magnetization: 2.00 μB per cell
data_WCl3
_cell_length_a 5.760
_cell_length_b 5.760
_cell_length_c 7.061
_cell_angle_alpha 97.94
_cell_angle_beta 97.94
_cell_angle_gamma 114.82
_symmetry_space_group_name_H-M 'P 1'
_symmetry_Int_Tables_number 1
_symmetry_space_group_name_Hall 'P 1'
loop_
_atom_site_label
_atom_site_type_symbol
_atom_site_fract_x
_atom_site_fract_y
_atom_site_fract_z
W1 W 0.867 0.133 0.000
W2 W 0.133 0.867 0.000
Cl1 Cl 0.902 0.559 0.194
Cl2 Cl 0.559 0.902 0.194
Cl3 Cl 0.760 0.760 0.746
Cl4 Cl 0.240 0.240 0.254
Cl5 Cl 0.441 0.098 0.806
Cl6 Cl 0.098 0.441 0.806

=====

Record 12
# PBE WCl3, relaxed
# - Calculated volume: 75.8 Å³/f.u.
# - Formation energy without anion corrections: 0.962 eV per atom
# - Spin magnetization: 2.99 μB per cell
data_WCl3
_cell_length_a 4.233
_cell_length_b 4.233
_cell_length_c 4.233
_cell_angle_alpha 90.00
_cell_angle_beta 90.00
_cell_angle_gamma 90.00
_symmetry_space_group_name_H-M 'P 1'
_symmetry_Int_Tables_number 1
_symmetry_space_group_name_Hall 'P 1'
loop_
_atom_site_label
_atom_site_type_symbol
_atom_site_fract_x
_atom_site_fract_y
_atom_site_fract_z
W1 W 0.000 0.000 0.000
Cl1 Cl 0.000 0.500 0.500
Cl2 Cl 0.500 0.000 0.500
Cl3 Cl 0.500 0.500 0.000

=====

Record 13
# PBE YWCl2, relaxed
# - Calculated volume: 94.7 Å³/f.u.
# - Formation energy without anion corrections: 0.502 eV per atom
# - Spin magnetization: 5.00 μB per cell
data_YWCl2
_cell_length_a 5.117
_cell_length_b 5.117
_cell_length_c 5.117
_cell_angle_alpha 60.00
_cell_angle_beta 60.00
_cell_angle_gamma 60.00
_symmetry_space_group_name_H-M 'P 1'
_symmetry_Int_Tables_number 1
_symmetry_space_group_name_Hall 'P 1'
loop_
_atom_site_label
_atom_site_type_symbol
_atom_site_fract_x
_atom_site_fract_y
_atom_site_fract_z
Y1 Y 0.750 0.750 0.750
W1 W 0.500 0.500 0.500
Cl1 Cl 0.000 0.000 0.000
Cl2 Cl 0.250 0.250 0.250

=====

Record 14
# PBE YWCl2, relaxed
# - Calculated volume: 106.3 Å³/f.u.
# - Formation energy without anion corrections: 0.073 eV per atom
# - Spin magnetization: 1.63 μB per cell
data_YWCl2
_cell_length_a 3.095
_cell_length_b 3.095
_cell_length_c 11.104
_cell_angle_alpha 90.00
_cell_angle_beta 90.00
_cell_angle_gamma 90.00
_symmetry_space_group_name_H-M 'P 1'
_symmetry_Int_Tables_number 1
_symmetry_space_group_name_Hall 'P 1'
loop_
_atom_site_label
_atom_site_type_symbol
_atom_site_fract_x
_atom_site_fract_y
_atom_site_fract_z
Y1 Y 0.500 0.500 0.750
W1 W 0.500 0.500 0.250
Cl1 Cl 0.000 0.000 0.901
Cl2 Cl 0.000 0.000 0.599